10
Lattice="-6.6226 -1.3783 0.6119 0.4199 -4.3325 -5.2141 1.1144 -3.8824 3.3156" Properties=species:S:1:pos:R:3 comment="Ba2AsRu2 | Alexandria | PBE | optimized geometry" total_energy_ev_per_atom=-5.307 space_group=P4/mbm pbc="T T T"
Ru -4.1052 -1.4201 -0.2830
Ba -0.3692 -5.1536 -1.7924
As 0.0000 0.0000 0.0000
As -3.1014 -2.8554 -2.3011
Ru -0.6914 -1.7881 -1.8614
Ba -1.4639 -3.1715 0.8964
Ru -5.5114 -3.9226 -2.7408
Ru -2.0976 -4.2907 -4.3192
Ba -3.6244 -6.4216 -2.1830
Ba -4.7191 -4.4395 0.5058



6
Lattice="4.2278 0.0000 0.0000 0.0000 4.2278 0.0000 0.0000 0.0000 9.7878" Properties=species:S:1:pos:R:3 comment="BaAsRu | Alexandria | PBE | optimized geometry" total_energy_ev_per_atom=-5.946 space_group=P4/nmm pbc="T T T"
Ru 2.1139 2.1139 4.8939
Ba 2.1139 0.0000 2.0461
Ba 0.0000 2.1139 7.7417
As 0.0000 2.1139 3.6300
Ru 0.0000 0.0000 4.8939
As 2.1139 0.0000 6.1578



4
Lattice="-0.7060 -5.3192 1.2668 1.9324 3.5366 3.8310 -2.4294 0.7971 1.7965" Properties=species:S:1:pos:R:3 comment="BaAsRu2 | Alexandria | PBE | optimized geometry" total_energy_ev_per_atom=-5.524 space_group=C2/m pbc="T T T"
As -0.2485 2.1669 2.8137
Ba 0.6132 -0.8913 2.5489
Ru 0.0000 0.0000 0.0000
Ru -1.5677 -2.2611 1.5316